HoSi3Pd5 after structural relaxation. Source: Alexandria via LeMat-Bulk, functional PBE.

The structure belongs to space group Cmcm (No. 63); the cell edges are 3.8511, 12.5589 and 12.6657 Å and the angles 90.00°, 90.00° and 90.00°. The inequivalent atoms are Ho at (0.0000, 0.1430, 0.2500), Si at (0.0000, 0.1191, 0.7500), Si at (0.0000, 0.3847, 0.5410), Pd at (0.0000, 0.0000, 0.0000), Pd at (0.0000, 0.2063, 0.5776) and Pd at (0.0000, 0.4505, 0.1462).

The calculated density comes out at 8.5 g/cm3. The value obtained for the formation energy from raw total energies is -0.690 eV/atom. The spin magnetization comes out at 0.0 μB/f.u.